Arrangement A

## Na2ReO4 (GGA-PBE)

Data for a geometry-optimized Na2ReO4 structure.

Values from the calculation:
**Space group**: P2_1/m (11)
**Theoretical density**: 4.2 g cm⁻³

abc: 6.0339 6.1842 6.4870
angles: 90.00 104.63 90.00
With the nearest neighbours (Å) after each atom.
Atoms (fractional coordinates):
O 0.5971 0.0255 0.7674  1 Re 1.82
O 0.9929 0.7500 0.3398  1 Re 1.80
O 0.0369 0.7500 0.9123  1 Re 1.79
O 0.9631 0.2500 0.0877  1 Re 1.79
O 0.4029 0.5255 0.2326  1 Re 1.82
O 0.5971 0.4745 0.7674  1 Re 1.82
O 0.4029 0.9745 0.2326  1 Re 1.82
O 0.0071 0.2500 0.6602  1 Re 1.80
Re 0.7989 0.2500 0.8153  4 O 1.79-1.82
Re 0.2011 0.7500 0.1847  4 O 1.79-1.82
Na 0.6607 0.7500 0.0317  6 O 2.38-2.66
Na 0.3393 0.2500 0.9683  6 O 2.38-2.66
Na 0.7620 0.7500 0.5729  4 O 2.30-2.47
Na 0.2380 0.2500 0.4271  4 O 2.30-2.47

=====

Arrangement B

## Na2ReO4 (GGA-PBE)

Data for a geometry-optimized Na2ReO4 structure.

Values from the calculation:
**Space group**: I4/mmm (139)
**Theoretical density**: 5.4 g cm⁻³

abc: 3.8985 3.8985 6.6026
angles: 72.83 72.83 90.00
With the nearest neighbours (Å) after each atom.
Atoms (fractional coordinates):
Na 0.3469 0.3469 0.3062  1 O 2.30
Na 0.6531 0.6531 0.6938  1 O 2.30
Re 0.0000 0.0000 0.0000  6 O 1.86-1.95
O 0.1553 0.1553 0.6895  1 Re 1.86
O 0.5000 0.0000 0.0000  2 Re 1.95
O 0.0000 0.5000 0.0000  2 Re 1.95
O 0.8447 0.8447 0.3105  1 Re 1.86

=====

arrangement B wins, 5.0 kJ/mol of atoms ahead of the next structure.

=====

Arrangement A

## NaRe2O8 (GGA-PBE)

Data for a geometry-optimized NaRe2O8 structure.

Values from the calculation:
**Space group**: P4/mmm (123)
**Theoretical density**: 6.5 g cm⁻³

abc: 4.7161 4.7161 5.9825
angles: 90.00 90.00 90.00
With the nearest neighbours (Å) after each atom.
Atoms (fractional coordinates):
O 0.7500 0.2500 0.1923  2 Re 2.03
O 0.7500 0.7500 0.8077  2 Re 2.03
O 0.7500 0.2500 0.8077  2 Re 2.03
O 0.2500 0.2500 0.8077  2 Re 2.03
O 0.2500 0.7500 0.8077  2 Re 2.03
O 0.2500 0.7500 0.1923  2 Re 2.03
O 0.7500 0.7500 0.1923  2 Re 2.03
O 0.2500 0.2500 0.1923  2 Re 2.03
Na 0.5000 0.5000 0.5000  8 O 2.48
Re 0.0000 0.5000 0.0000  8 O 2.03
Re 0.5000 0.0000 0.0000  8 O 2.03

=====

Arrangement B

## NaRe2O8 (GGA-PBE)

Data for a geometry-optimized NaRe2O8 structure.

Values from the calculation:
**Space group**: C2/m (12)
**Theoretical density**: 3.7 g cm⁻³

abc: 5.7259 7.4141 6.0945
angles: 99.55 90.00 112.72
With the nearest neighbours (Å) after each atom.
Atoms (fractional coordinates):
Re 0.1529 0.3058 0.6348  4 O 1.75-1.77
Re 0.8471 0.6942 0.3652  4 O 1.75-1.77
O 0.7183 0.4367 0.3584  1 Re 1.75
O 0.2817 0.5633 0.6416  1 Re 1.75
O 0.0889 0.1777 0.3559  1 Re 1.77
O 0.9111 0.8223 0.6441  1 Re 1.77
O 0.3621 0.2377 0.7788  1 Re 1.75
O 0.6379 0.7623 0.2212  1 Re 1.75
O 0.8756 0.2377 0.7788  1 Re 1.75
O 0.1244 0.7623 0.2212  1 Re 1.75
Na 0.0000 0.0000 0.0000  2 O 2.29

=====

arrangement B wins, 61.2 kJ/mol of atoms ahead of the next structure.